(1)
First-principles (PBE) data for a relaxed structure of SmY7Tm5, as listed in the Alexandria database.

## Properties
energy of formation from the pure elements: 0.243 eV/atom

Lattice parameters (Å, degrees): 6.653 11.166 11.527 90.00 90.00 90.00
Space group Imm2 (No. 44)
Asymmetric unit:
Sm 0.000 0.000 0.000
Y 0.000 0.000 0.303
Y 0.000 0.000 0.615
Y 0.000 0.325 0.059
Y 0.000 0.330 0.560
Y 0.000 0.500 0.306
Tm 0.000 0.500 0.814
Tm 0.234 0.229 0.808

---

(2)
First-principles (PBE) data for a relaxed structure of Dy4Se4I3, as listed in the Alexandria database.

## Properties
formation energy (no corrections): -1.43 eV per atom

Lattice parameters (Å, degrees): 4.287 8.415 16.792 90.00 90.00 90.00
Space group Immm (No. 71)
Asymmetric unit:
Dy 0.000 0.000 0.229
Dy 0.000 0.215 0.500
Se 0.000 0.297 0.332
I 0.000 0.000 0.000
I 0.000 0.500 0.098

---

(3)
First-principles (PBE) data for a relaxed structure of InHgBrO2, as listed in the Alexandria database.

## Properties
formation energy (no corrections): -0.86 eV per atom

Lattice parameters (Å, degrees): 6.406 3.514 9.587 90.00 94.73 90.00
Space group P2_1/m (No. 11)
Asymmetric unit:
In 0.043 0.250 0.345
Hg 0.456 0.250 0.664
Br 0.244 0.750 0.872
O 0.146 0.250 0.572
O 0.224 0.750 0.292

---

(4)
First-principles (PBE) data for a relaxed structure of Cr2SbPt2, as listed in the Alexandria database.

## Properties
formation energy (no corrections): -0.02 eV per atom

Lattice parameters (Å, degrees): 7.566 7.566 2.976 90.00 90.00 90.00
Space group P4/mbm (No. 127)
Asymmetric unit:
Cr 0.161 0.339 0.000
Sb 0.000 0.000 0.500
Pt 0.134 0.634 0.500

---

It is found that the density values, taken in the order of the records, are 6.273 7.383 6.599 12.006 g/cm³.